12
Lattice="0.000 4.881 3.790 4.870 0.000 3.790 4.870 4.881 0.000" Properties=species:S:1:pos:R:3 comment="PBE Pu3ThC8, relaxed" space_group="Fmm2, No. 42" formation_energy_ev_per_atom=0.29 magmom_total_mub_per_fu=15.54 total_energy_ev_per_atom=-10.0592 pbc="T T T"
Pu 0.000 0.000 0.000
Pu 2.435 2.440 1.886
Pu 7.304 7.321 5.676
Th 4.870 4.881 3.789
C 4.870 3.241 1.877
C 4.870 2.230 2.737
C 7.515 4.881 4.850
C 4.870 6.521 1.877
C 6.508 4.881 5.712
C 4.870 7.532 2.737
C 2.224 4.881 4.850
C 3.231 4.881 5.712

80
Lattice="-8.301 8.301 8.301 8.301 -8.301 8.301 8.301 8.301 -8.301" Properties=species:S:1:pos:R:3 comment="PBE Ga3Sn12Ge5, relaxed" space_group="Ia-3d, No. 230" formation_energy_ev_per_atom=0.19 magmom_total_mub_per_fu=0.00 total_energy_ev_per_atom=-3.8155 pbc="T T T"
Ga 4.150 2.075 0.000
Ga 8.301 4.150 -2.075
Ga 2.075 0.000 4.150
Ga 10.376 0.000 4.150
Ga 0.000 4.150 2.075
Ga 4.150 -2.075 8.301
Ga 4.150 10.376 0.000
Ga 8.301 4.150 6.226
Ga -2.075 8.301 4.150
Ga 6.226 8.301 4.150
Ga 0.000 4.150 10.376
Ga 4.150 6.226 8.301
Sn 2.529 -0.356 1.350
Sn 9.922 5.500 -4.506
Sn 7.945 -1.350 2.529
Sn 12.807 -1.621 2.800
Sn 10.830 0.356 1.350
Sn 9.922 -2.800 4.506
Sn 1.350 2.529 -0.356
Sn 11.101 3.794 -1.621
Sn 5.500 4.506 -1.621
Sn 6.951 2.529 0.356
Sn -0.356 1.350 2.529
Sn 4.506 -1.621 5.500
Sn 7.945 6.951 -2.529
Sn 4.506 1.621 2.800
Sn 6.951 -2.529 7.945
Sn 5.500 -4.506 9.922
Sn 2.800 4.506 1.621
Sn 9.651 5.772 0.356
Sn 2.529 7.945 -1.350
Sn 9.922 2.800 3.794
Sn 4.506 9.922 -2.800
Sn 7.945 1.350 5.772
Sn 1.621 2.800 4.506
Sn 2.529 0.356 6.951
Sn 5.772 7.945 1.350
Sn 6.680 5.500 3.794
Sn 0.356 6.951 2.529
Sn 3.794 -1.621 11.101
Sn -1.621 5.500 4.506
Sn 5.772 0.356 9.651
Sn -1.350 2.529 7.945
Sn 5.500 3.794 6.680
Sn 2.800 12.807 -1.621
Sn 1.350 10.830 0.356
Sn 3.794 6.680 5.500
Sn 0.356 1.350 10.830
Sn 3.794 9.922 2.800
Sn 8.657 6.951 5.772
Sn 1.350 5.772 7.945
Sn 2.800 3.794 9.922
Sn -2.800 4.506 9.922
Sn 6.951 5.772 8.657
Sn -1.621 11.101 3.794
Sn -2.529 7.945 6.951
Sn -4.506 9.922 5.500
Sn 0.356 9.651 5.772
Sn -1.621 2.800 12.807
Sn 5.772 8.657 6.951
Ge 0.000 0.000 0.000
Ge 4.150 4.150 -4.150
Ge 4.150 -4.150 4.150
Ge 8.301 0.000 0.000
Ge 12.451 2.075 0.000
Ge 8.301 -4.150 6.226
Ge 6.226 8.301 -4.150
Ge 6.226 0.000 4.150
Ge 4.150 6.226 0.000
Ge 8.301 4.150 2.075
Ge -4.150 4.150 4.150
Ge 0.000 8.301 0.000
Ge 0.000 0.000 8.301
Ge 4.150 4.150 4.150
Ge 0.000 4.150 6.226
Ge 4.150 2.075 8.301
Ge 2.075 8.301 4.150
Ge 2.075 0.000 12.451
Ge 0.000 12.451 2.075
Ge -4.150 6.226 8.301

16
Lattice="6.906 0.000 0.000 0.000 7.012 0.000 0.000 0.000 7.731" Properties=species:S:1:pos:R:3 comment="PBE LaPuCu2Se4, relaxed" space_group="I222, No. 23" magmom_total_mub_per_fu=5.19 total_energy_ev_per_atom=-6.1780 pbc="T T T"
La 0.000 0.000 0.000
La 3.453 3.506 3.866
Pu 0.000 0.000 3.866
Pu 3.453 3.506 0.000
Cu 0.000 3.506 1.315
Cu 0.000 3.506 6.416
Cu 3.453 0.000 2.550
Cu 3.453 0.000 5.181
Se 1.675 1.874 6.007
Se 1.675 5.138 1.724
Se 1.778 1.632 2.141
Se 1.778 5.380 5.590
Se 5.129 1.632 5.590
Se 5.129 5.380 2.141
Se 5.231 1.874 1.724
Se 5.231 5.138 6.007